1.
VASP calculation (PBE) on an optimized crystal structure of Ho6AgHg2.

Output
Mass density = 9.13 g cm⁻³
Total magnetic moment = 0.000 μB/atom
N(E_F) = 10.7 states/eV/f.u.
Total DFT energy (no corrections) = -31.50 eV per cell

```
data_Ho6AgHg2
_chemical_formula_sum 'Ho6 Ag1 Hg2'
_cell_length_a 8.7392
_cell_length_b 8.7392
_cell_length_c 8.7392
_cell_angle_alpha 146.54
_cell_angle_beta 131.63
_cell_angle_gamma 60.10
_symmetry_space_group_name_H-M 'P 1'
_symmetry_Int_Tables_number 1
_symmetry_space_group_name_Hall 'P 1'
loop_
_atom_site_label
_atom_site_type_symbol
_atom_site_fract_x
_atom_site_fract_y
_atom_site_fract_z
Ho1 Ho 0.0830 0.3351 0.7479
Ho2 Ho 0.2464 0.0000 0.2464
Ho3 Ho 0.4128 0.6649 0.7479
Ho4 Ho 0.5872 0.3351 0.2521
Ho5 Ho 0.7536 0.0000 0.7536
Ho6 Ho 0.9170 0.6649 0.2521
Ag1 Ag 0.0000 0.5000 0.5000
Hg1 Hg 0.3331 0.8331 0.5000
Hg2 Hg 0.6669 0.1669 0.5000
```



2.
VASP calculation (PBE) on an optimized crystal structure of Ho8AgHg2.

Output
Mass density = 9.82 g cm⁻³
Total magnetic moment = 0.000 μB/atom
N(E_F) = 9.6 states/eV/f.u.
Total DFT energy (no corrections) = -42.24 eV per cell

```
data_Ho8AgHg2
_chemical_formula_sum 'Ho8 Ag1 Hg2'
_cell_length_a 9.3307
_cell_length_b 9.3307
_cell_length_c 6.9161
_cell_angle_alpha 104.36
_cell_angle_beta 104.36
_cell_angle_gamma 32.12
_symmetry_space_group_name_H-M 'P 1'
_symmetry_Int_Tables_number 1
_symmetry_space_group_name_Hall 'P 1'
loop_
_atom_site_label
_atom_site_type_symbol
_atom_site_fract_x
_atom_site_fract_y
_atom_site_fract_z
Ho1 Ho 0.0249 0.0249 0.2685
Ho2 Ho 0.1984 0.1984 0.8116
Ho3 Ho 0.3378 0.3378 0.5331
Ho4 Ho 0.4097 0.4097 0.0453
Ho5 Ho 0.5903 0.5903 0.9547
Ho6 Ho 0.6622 0.6622 0.4669
Ho7 Ho 0.8016 0.8016 0.1884
Ho8 Ho 0.9751 0.9751 0.7315
Ag1 Ag 0.5000 0.5000 0.5000
Hg1 Hg 0.1882 0.1882 0.2281
Hg2 Hg 0.8118 0.8118 0.7719
```



3.
VASP calculation (PBE) on an optimized crystal structure of Ho3Ag4Hg2.

Output
Mass density = 10.70 g cm⁻³
Total magnetic moment = 0.000 μB/atom
N(E_F) = 5.1 states/eV/f.u.
Total DFT energy (no corrections) = -56.46 eV per cell

```
data_Ho3Ag4Hg2
_chemical_formula_sum 'Ho6 Ag8 Hg4'
_cell_length_a 9.0274
_cell_length_b 9.0274
_cell_length_c 5.2855
_cell_angle_alpha 98.36
_cell_angle_beta 98.36
_cell_angle_gamma 76.78
_symmetry_space_group_name_H-M 'P 1'
_symmetry_Int_Tables_number 1
_symmetry_space_group_name_Hall 'P 1'
loop_
_atom_site_label
_atom_site_type_symbol
_atom_site_fract_x
_atom_site_fract_y
_atom_site_fract_z
Ho1 Ho 0.1306 0.8694 0.7500
Ho2 Ho 0.2118 0.4566 0.9225
Ho3 Ho 0.4566 0.2118 0.4225
Ho4 Ho 0.5434 0.7882 0.5775
Ho5 Ho 0.7882 0.5434 0.0775
Ho6 Ho 0.8694 0.1306 0.2500
Ag1 Ag 0.0958 0.3555 0.3685
Ag2 Ag 0.3272 0.5637 0.4782
Ag3 Ag 0.3555 0.0958 0.8685
Ag4 Ag 0.4363 0.6728 0.0218
Ag5 Ag 0.5637 0.3272 0.9782
Ag6 Ag 0.6445 0.9042 0.1315
Ag7 Ag 0.6728 0.4363 0.5218
Ag8 Ag 0.9042 0.6445 0.6315
Hg1 Hg 0.0118 0.7594 0.1905
Hg2 Hg 0.2406 0.9882 0.3095
Hg3 Hg 0.7594 0.0118 0.6905
Hg4 Hg 0.9882 0.2406 0.8095
```



4.
VASP calculation (PBE) on an optimized crystal structure of HoAg2Hg.

Output
Mass density = 10.92 g cm⁻³
Total magnetic moment = 0.000 μB/atom
N(E_F) = 2.1 states/eV/f.u.
Total DFT energy (no corrections) = -11.26 eV per cell

```
data_HoAg2Hg
_chemical_formula_sum 'Ho1 Ag2 Hg1'
_cell_length_a 4.4779
_cell_length_b 4.4779
_cell_length_c 4.4097
_cell_angle_alpha 90.00
_cell_angle_beta 90.00
_cell_angle_gamma 90.00
_symmetry_space_group_name_H-M 'P 1'
_symmetry_Int_Tables_number 1
_symmetry_space_group_name_Hall 'P 1'
loop_
_atom_site_label
_atom_site_type_symbol
_atom_site_fract_x
_atom_site_fract_y
_atom_site_fract_z
Ho1 Ho 0.0000 0.0000 0.0000
Ag1 Ag 0.0000 0.5000 0.5000
Ag2 Ag 0.5000 0.0000 0.5000
Hg1 Hg 0.5000 0.5000 0.0000
```



5.
VASP calculation (PBE) on an optimized crystal structure of Ho4AgHg5.

Output
Mass density = 12.09 g cm⁻³
Total magnetic moment = 0.000 μB/atom
N(E_F) = 7.1 states/eV/f.u.
Total DFT energy (no corrections) = -26.54 eV per cell

```
data_Ho4AgHg5
_chemical_formula_sum 'Ho4 Ag1 Hg5'
_cell_length_a 3.6761
_cell_length_b 3.6761
_cell_length_c 17.9896
_cell_angle_alpha 90.00
_cell_angle_beta 90.00
_cell_angle_gamma 90.00
_symmetry_space_group_name_H-M 'P 1'
_symmetry_Int_Tables_number 1
_symmetry_space_group_name_Hall 'P 1'
loop_
_atom_site_label
_atom_site_type_symbol
_atom_site_fract_x
_atom_site_fract_y
_atom_site_fract_z
Ho1 Ho 0.0000 0.0000 0.1043
Ho2 Ho 0.0000 0.0000 0.3121
Ho3 Ho 0.0000 0.0000 0.6879
Ho4 Ho 0.0000 0.0000 0.8957
Ag1 Ag 0.0000 0.0000 0.5000
Hg1 Hg 0.5000 0.5000 0.0000
Hg2 Hg 0.5000 0.5000 0.2053
Hg3 Hg 0.5000 0.5000 0.4101
Hg4 Hg 0.5000 0.5000 0.5899
Hg5 Hg 0.5000 0.5000 0.7947
```



6.
VASP calculation (PBE) on an optimized crystal structure of HoAg3Hg3.

Output
Mass density = 11.46 g cm⁻³
Total magnetic moment = 0.000 μB/atom
N(E_F) = 3.2 states/eV/f.u.
Total DFT energy (no corrections) = -28.97 eV per cell

```
data_HoAg3Hg3
_chemical_formula_sum 'Ho2 Ag6 Hg6'
_cell_length_a 7.7448
_cell_length_b 7.7448
_cell_length_c 7.7448
_cell_angle_alpha 58.35
_cell_angle_beta 58.35
_cell_angle_gamma 58.35
_symmetry_space_group_name_H-M 'P 1'
_symmetry_Int_Tables_number 1
_symmetry_space_group_name_Hall 'P 1'
loop_
_atom_site_label
_atom_site_type_symbol
_atom_site_fract_x
_atom_site_fract_y
_atom_site_fract_z
Ho1 Ho 0.1627 0.1627 0.1627
Ho2 Ho 0.8373 0.8373 0.8373
Ag1 Ag 0.0348 0.6118 0.2137
Ag2 Ag 0.2137 0.0348 0.6118
Ag3 Ag 0.3882 0.7863 0.9652
Ag4 Ag 0.6118 0.2137 0.0348
Ag5 Ag 0.7863 0.9652 0.3882
Ag6 Ag 0.9652 0.3882 0.7863
Hg1 Hg 0.1934 0.6779 0.4367
Hg2 Hg 0.3221 0.5633 0.8066
Hg3 Hg 0.4367 0.1934 0.6779
Hg4 Hg 0.5633 0.8066 0.3221
Hg5 Hg 0.6779 0.4367 0.1934
Hg6 Hg 0.8066 0.3221 0.5633
```



7.
VASP calculation (PBE) on an optimized crystal structure of Ho2AgHg.

Output
Mass density = 10.79 g cm⁻³
Total magnetic moment = 0.000 μB/atom
N(E_F) = 3.9 states/eV/f.u.
Total DFT energy (no corrections) = -13.93 eV per cell

```
data_Ho2AgHg
_chemical_formula_sum 'Ho2 Ag1 Hg1'
_cell_length_a 5.1789
_cell_length_b 5.1789
_cell_length_c 5.1789
_cell_angle_alpha 60.00
_cell_angle_beta 60.00
_cell_angle_gamma 60.00
_symmetry_space_group_name_H-M 'P 1'
_symmetry_Int_Tables_number 1
_symmetry_space_group_name_Hall 'P 1'
loop_
_atom_site_label
_atom_site_type_symbol
_atom_site_fract_x
_atom_site_fract_y
_atom_site_fract_z
Ho1 Ho 0.2500 0.2500 0.2500
Ho2 Ho 0.7500 0.7500 0.7500
Ag1 Ag 0.0000 0.0000 0.0000
Hg1 Hg 0.5000 0.5000 0.5000
```



8.
VASP calculation (PBE) on an optimized crystal structure of Ho3Ag2Hg3.

Output
Mass density = 11.29 g cm⁻³
Total magnetic moment = 0.000 μB/atom
N(E_F) = 8.8 states/eV/f.u.
Total DFT energy (no corrections) = -23.08 eV per cell

```
data_Ho3Ag2Hg3
_chemical_formula_sum 'Ho3 Ag2 Hg3'
_cell_length_a 7.6348
_cell_length_b 7.6348
_cell_length_c 3.8241
_cell_angle_alpha 90.00
_cell_angle_beta 90.00
_cell_angle_gamma 120.00
_symmetry_space_group_name_H-M 'P 1'
_symmetry_Int_Tables_number 1
_symmetry_space_group_name_Hall 'P 1'
loop_
_atom_site_label
_atom_site_type_symbol
_atom_site_fract_x
_atom_site_fract_y
_atom_site_fract_z
Ho1 Ho 0.0000 0.3979 0.0000
Ho2 Ho 0.3979 0.0000 0.0000
Ho3 Ho 0.6021 0.6021 0.0000
Ag1 Ag 0.3333 0.6667 0.5000
Ag2 Ag 0.6667 0.3333 0.5000
Hg1 Hg 0.0000 0.7614 0.5000
Hg2 Hg 0.2386 0.2386 0.5000
Hg3 Hg 0.7614 0.0000 0.5000
```



9.
VASP calculation (PBE) on an optimized crystal structure of Ho3Ag2Hg.

Output
Mass density = 10.38 g cm⁻³
Total magnetic moment = 0.000 μB/atom
N(E_F) = 3.8 states/eV/f.u.
Total DFT energy (no corrections) = -22.01 eV per cell

```
data_Ho3Ag2Hg
_chemical_formula_sum 'Ho3 Ag2 Hg1'
_cell_length_a 3.6570
_cell_length_b 3.6570
_cell_length_c 10.8974
_cell_angle_alpha 90.00
_cell_angle_beta 90.00
_cell_angle_gamma 90.00
_symmetry_space_group_name_H-M 'P 1'
_symmetry_Int_Tables_number 1
_symmetry_space_group_name_Hall 'P 1'
loop_
_atom_site_label
_atom_site_type_symbol
_atom_site_fract_x
_atom_site_fract_y
_atom_site_fract_z
Ho1 Ho 0.0000 0.0000 0.0000
Ho2 Ho 0.0000 0.0000 0.3288
Ho3 Ho 0.0000 0.0000 0.6712
Ag1 Ag 0.5000 0.5000 0.1651
Ag2 Ag 0.5000 0.5000 0.8349
Hg1 Hg 0.5000 0.5000 0.5000
```



10.
VASP calculation (PBE) on an optimized crystal structure of Ho4Ag2Hg.

Output
Mass density = 9.01 g cm⁻³
Total magnetic moment = 0.000 μB/atom
N(E_F) = 10.4 states/eV/f.u.
Total DFT energy (no corrections) = -24.79 eV per cell

```
data_Ho4Ag2Hg
_chemical_formula_sum 'Ho4 Ag2 Hg1'
_cell_length_a 9.9464
_cell_length_b 9.9464
_cell_length_c 9.9464
_cell_angle_alpha 28.53
_cell_angle_beta 28.53
_cell_angle_gamma 28.53
_symmetry_space_group_name_H-M 'P 1'
_symmetry_Int_Tables_number 1
_symmetry_space_group_name_Hall 'P 1'
loop_
_atom_site_label
_atom_site_type_symbol
_atom_site_fract_x
_atom_site_fract_y
_atom_site_fract_z
Ho1 Ho 0.1211 0.1211 0.1211
Ho2 Ho 0.2962 0.2962 0.2962
Ho3 Ho 0.7038 0.7038 0.7038
Ho4 Ho 0.8789 0.8789 0.8789
Ag1 Ag 0.4001 0.4001 0.4001
Ag2 Ag 0.5999 0.5999 0.5999
Hg1 Hg 0.5000 0.5000 0.5000
```



11.
VASP calculation (PBE) on an optimized crystal structure of Ho6Ag3Hg.

Output
Mass density = 9.63 g cm⁻³
Total magnetic moment = 0.000 μB/atom
N(E_F) = 8.0 states/eV/f.u.
Total DFT energy (no corrections) = -77.53 eV per cell

```
data_Ho6Ag3Hg
_chemical_formula_sum 'Ho12 Ag6 Hg2'
_cell_length_a 9.2021
_cell_length_b 4.9685
_cell_length_c 11.8925
_cell_angle_alpha 90.00
_cell_angle_beta 106.26
_cell_angle_gamma 90.00
_symmetry_space_group_name_H-M 'P 1'
_symmetry_Int_Tables_number 1
_symmetry_space_group_name_Hall 'P 1'
loop_
_atom_site_label
_atom_site_type_symbol
_atom_site_fract_x
_atom_site_fract_y
_atom_site_fract_z
Ho1 Ho 0.0160 0.2500 0.1132
Ho2 Ho 0.1478 0.2500 0.7175
Ho3 Ho 0.2137 0.7500 0.5220
Ho4 Ho 0.3435 0.7500 0.1156
Ho5 Ho 0.3757 0.2500 0.3589
Ho6 Ho 0.3884 0.7500 0.8467
Ho7 Ho 0.6116 0.2500 0.1533
Ho8 Ho 0.6243 0.7500 0.6411
Ho9 Ho 0.6565 0.2500 0.8844
Ho10 Ho 0.7863 0.2500 0.4780
Ho11 Ho 0.8522 0.7500 0.2825
Ho12 Ho 0.9840 0.7500 0.8868
Ag1 Ag 0.0460 0.2500 0.3700
Ag2 Ag 0.1610 0.7500 0.2697
Ag3 Ag 0.2721 0.2500 0.9751
Ag4 Ag 0.7279 0.7500 0.0249
Ag5 Ag 0.8390 0.2500 0.7303
Ag6 Ag 0.9540 0.7500 0.6300
Hg1 Hg 0.4283 0.2500 0.6387
Hg2 Hg 0.5717 0.7500 0.3613
```



12.
VASP calculation (PBE) on an optimized crystal structure of Ho3AgHg4.

Output
Mass density = 11.31 g cm⁻³
Total magnetic moment = 0.000 μB/atom
N(E_F) = 4.3 states/eV/f.u.
Total DFT energy (no corrections) = -20.15 eV per cell

```
data_Ho3AgHg4
_chemical_formula_sum 'Ho3 Ag1 Hg4'
_cell_length_a 7.9518
_cell_length_b 7.9518
_cell_length_c 7.9518
_cell_angle_alpha 153.83
_cell_angle_beta 109.36
_cell_angle_gamma 76.77
_symmetry_space_group_name_H-M 'P 1'
_symmetry_Int_Tables_number 1
_symmetry_space_group_name_Hall 'P 1'
loop_
_atom_site_label
_atom_site_type_symbol
_atom_site_fract_x
_atom_site_fract_y
_atom_site_fract_z
Ho1 Ho 0.0000 0.0000 0.0000
Ho2 Ho 0.2956 0.7956 0.5000
Ho3 Ho 0.7044 0.2044 0.5000
Ag1 Ag 0.5000 0.5000 0.0000
Hg1 Hg 0.1067 0.3734 0.7334
Hg2 Hg 0.3600 0.6266 0.7334
Hg3 Hg 0.6400 0.3734 0.2666
Hg4 Hg 0.8933 0.6266 0.2666
```



Please write out number 12 again, unchanged.
VASP calculation (PBE) on an optimized crystal structure of Ho3AgHg4.

Output
Mass density = 11.31 g cm⁻³
Total magnetic moment = 0.000 μB/atom
N(E_F) = 4.3 states/eV/f.u.
Total DFT energy (no corrections) = -20.15 eV per cell

```
data_Ho3AgHg4
_chemical_formula_sum 'Ho3 Ag1 Hg4'
_cell_length_a 7.9518
_cell_length_b 7.9518
_cell_length_c 7.9518
_cell_angle_alpha 153.83
_cell_angle_beta 109.36
_cell_angle_gamma 76.77
_symmetry_space_group_name_H-M 'P 1'
_symmetry_Int_Tables_number 1
_symmetry_space_group_name_Hall 'P 1'
loop_
_atom_site_label
_atom_site_type_symbol
_atom_site_fract_x
_atom_site_fract_y
_atom_site_fract_z
Ho1 Ho 0.0000 0.0000 0.0000
Ho2 Ho 0.2956 0.7956 0.5000
Ho3 Ho 0.7044 0.2044 0.5000
Ag1 Ag 0.5000 0.5000 0.0000
Hg1 Hg 0.1067 0.3734 0.7334
Hg2 Hg 0.3600 0.6266 0.7334
Hg3 Hg 0.6400 0.3734 0.2666
Hg4 Hg 0.8933 0.6266 0.2666
```